[1]
Entry from Alexandria via LeMat-Bulk: a relaxed ZnHg2W crystal (PBE-GGA).

a b c (Å): 4.534 2.907 5.774
angles (deg): 74.79 90.00 90.00
Positions (direct):
Hg 0.000 0.894 0.000
Hg 0.000 0.606 0.500
W 0.500 0.250 0.250
Zn 0.500 0.750 0.750

Results
VASP energy (eV per atom): -3.011
Energy relative to the elements (meV per atom): 696
ρ (g/cm³): 14.71

[2]
Entry from Alexandria via LeMat-Bulk: a relaxed ZnHg2W crystal (PBE-GGA).

a b c (Å): 4.261 4.118 4.118
angles (deg): 90.00 90.00 90.00
Positions (direct):
W 0.500 0.500 0.000
Hg 0.000 0.500 0.500
Zn 0.500 0.000 0.500
Hg 0.000 0.000 0.000

Results
VASP energy (eV per atom): -3.053
Energy relative to the elements (meV per atom): 655
ρ (g/cm³): 14.95

[3]
Entry from Alexandria via LeMat-Bulk: a relaxed ZnHg2W crystal (PBE-GGA).

a b c (Å): 3.003 4.973 4.999
angles (deg): 90.00 90.00 90.00
Positions (direct):
W 0.500 0.000 0.500
Hg 0.500 0.500 0.000
Hg 0.000 0.000 0.000
Zn 0.000 0.500 0.500

Results
VASP energy (eV per atom): -2.981
Energy relative to the elements (meV per atom): 726
ρ (g/cm³): 14.47

[4]
Entry from Alexandria via LeMat-Bulk: a relaxed ZnHgW crystal (PBE-GGA).

a b c (Å): 4.336 4.336 4.336
angles (deg): 60.00 60.00 60.00
Site moments in Bohr magnetons follow the coordinates.
Positions (direct):
Zn 0.750 0.750 0.750  0.04
Hg 0.000 0.000 0.000  -0.03
W 0.500 0.500 0.500  1.57

Results
VASP energy (eV per atom): -3.672
Distance to the lowest polymorph of the same formula (eV per formula unit): 1.96
Energy relative to the elements (meV per atom): 1171
ρ (g/cm³): 12.96

The highest VASP energy belongs to which entry? number 3